This record from the Alexandria database describes a geometry-optimized Pm2Si3Ge2 structure. The functional is PBE.

a = 4.322 Å, b = 3.989 Å, c = 8.988 Å
α = 90.00°, β = 76.08°, γ = 90.00°
Fractional positions:
Ge  0.582  0.000  0.838
Ge  0.418  0.000  0.162
Pm  0.146  0.500  0.709
Pm  0.854  0.500  0.291
Si  0.000  0.000  0.000
Si  0.279  0.000  0.442
Si  0.721  0.000  0.558

Computed properties:
For the magnetization, the calculation gives 0.00 μB/f.u. For the uncorrected formation energy, the calculation gives -0.388 eV/atom. Its space group is No. 10. As for the density of states at the Fermi level: 0.35 states/eV per atom.